Entry 1:
The following is a DFT calculation (PBE-GGA) of a geometry-optimized MnIr2Ru structure.

Cell lengths 2.796, 4.568, 4.531 Å; angles 90.00, 90.00, 90.00 degrees
Site moments in Bohr magnetons follow the coordinates.
Element x y z (fractional)
Ru  0.000  0.500  0.500  0.38
Mn  0.500  0.000  0.500  3.37
Ir  0.000  0.000  0.000  0.23
Ir  0.500  0.500  0.000  0.18

Calculated values
**Total energy**: -8.837 eV/atom
**Size of the total moment**: 1.080 μB per atom
**Energy of formation**: 0.21 eV/atom
**Symmetry**: No. 47

Entry 2:
The following is a DFT calculation (PBE-GGA) of a geometry-optimized MnIrRu4 structure.

Cell lengths 5.043, 5.043, 5.043 Å; angles 60.00, 60.00, 60.00 degrees
Site moments in Bohr magnetons follow the coordinates.
Element x y z (fractional)
Ir  0.250  0.250  0.250  -0.51
Ru  0.126  0.625  0.625  -0.48
Ru  0.625  0.126  0.625  -0.48
Ru  0.625  0.625  0.126  -0.48
Ru  0.625  0.625  0.625  -0.48
Mn  0.000  0.000  0.000  3.64

Calculated values
**Total energy**: -8.634 eV/atom
**Size of the total moment**: 0.214 μB per atom
**Energy of formation**: 0.56 eV/atom
**Symmetry**: No. 216

Entry 3:
The following is a DFT calculation (PBE-GGA) of a geometry-optimized Mn2Ir6Ru structure.

Cell lengths 4.707, 4.703, 7.754 Å; angles 60.06, 66.20, 59.96 degrees
Site moments in Bohr magnetons follow the coordinates.
Element x y z (fractional)
Ir  0.226  0.442  0.836  -0.20
Ir  0.663  0.667  0.505  -0.11
Ir  0.116  0.885  0.163  -0.23
Ir  0.774  0.558  0.164  -0.20
Ir  0.884  0.115  0.837  -0.23
Ir  0.337  0.333  0.495  -0.11
Mn  0.441  0.216  0.169  2.53
Mn  0.559  0.784  0.831  2.53
Ru  0.000  0.000  0.500  -0.18

Calculated values
**Total energy**: -9.060 eV/atom
**Size of the total moment**: 0.439 μB per atom
**Energy of formation**: -0.08 eV/atom
**Symmetry**: No. 2

Entry 4:
The following is a DFT calculation (PBE-GGA) of a geometry-optimized MnIr2Ru structure.

Cell lengths 4.667, 4.667, 4.655 Å; angles 80.03, 80.03, 33.96 degrees
Site moments in Bohr magnetons follow the coordinates.
Element x y z (fractional)
Ru  0.250  0.250  0.248  -0.14
Ir  0.751  0.751  0.744  -0.05
Ir  0.000  0.000  0.007  -0.08
Mn  0.499  0.499  0.502  2.72

Calculated values
**Total energy**: -9.109 eV/atom
**Size of the total moment**: 0.638 μB per atom
**Energy of formation**: -0.07 eV/atom
**Symmetry**: No. 8

Entry 5:
The following is a DFT calculation (PBE-GGA) of a geometry-optimized MnIr6Ru2 structure.

Cell lengths 3.753, 5.522, 8.048 Å; angles 107.81, 117.81, 90.02 degrees
Site moments in Bohr magnetons follow the coordinates.
Element x y z (fractional)
Mn  0.000  0.000  0.000  1.94
Ir  0.537  0.732  0.036  0.01
Ir  0.691  0.096  0.691  -0.06
Ir  0.463  0.268  0.964  0.01
Ir  0.706  0.590  0.705  -0.07
Ir  0.294  0.410  0.295  -0.07
Ir  0.309  0.904  0.309  -0.06
Ru  0.991  0.731  0.491  -0.04
Ru  0.009  0.269  0.509  -0.04

Calculated values
**Total energy**: -8.649 eV/atom
**Size of the total moment**: 0.187 μB per atom
**Energy of formation**: 0.34 eV/atom
**Symmetry**: No. 10

Entry 6:
The following is a DFT calculation (PBE-GGA) of a geometry-optimized MnIr2Ru structure.

Cell lengths 2.724, 3.773, 5.399 Å; angles 90.00, 90.00, 90.00 degrees
Site moments in Bohr magnetons follow the coordinates.
Element x y z (fractional)
Ir  0.000  0.000  0.497  -0.13
Ir  0.000  0.000  0.003  -0.13
Mn  0.500  0.500  0.250  2.59
Ru  0.500  0.500  0.750  -0.18

Calculated values
**Total energy**: -9.130 eV/atom
**Size of the total moment**: 0.561 μB per atom
**Energy of formation**: -0.09 eV/atom
**Symmetry**: No. 47

Entry 7:
The following is a DFT calculation (PBE-GGA) of a geometry-optimized MnSiIrRu structure.

Cell lengths 4.221, 4.221, 4.221 Å; angles 60.00, 60.00, 60.00 degrees
Site moments in Bohr magnetons follow the coordinates.
Element x y z (fractional)
Ir  0.000  0.000  0.000  0.24
Si  0.750  0.750  0.750  0.01
Mn  0.250  0.250  0.250  3.35
Ru  0.500  0.500  0.500  0.28

Calculated values
**Total energy**: -8.631 eV/atom
**Size of the total moment**: 1.004 μB per atom
**Symmetry**: No. 216
**Formation energy without anion corrections**: -0.449 eV/atom

Entry 8:
The following is a DFT calculation (PBE-GGA) of a geometry-optimized TiMnIrRu structure.

Cell lengths 4.332, 4.332, 4.332 Å; angles 60.00, 60.00, 60.00 degrees
Site moments in Bohr magnetons follow the coordinates.
Element x y z (fractional)
Ti  0.250  0.250  0.250  0.14
Mn  0.750  0.750  0.750  3.44
Ir  0.000  0.000  0.000  0.19
Ru  0.500  0.500  0.500  0.20

Calculated values
**Total energy**: -9.266 eV/atom
**Size of the total moment**: 1.025 μB per atom
**Energy of formation**: -0.47 eV/atom
**Symmetry**: No. 216

Entry 9:
The following is a DFT calculation (PBE-GGA) of a geometry-optimized MnTlIrRu2 structure.

Cell lengths 4.733, 4.841, 4.733 Å; angles 90.00, 90.00, 90.00 degrees
Site moments in Bohr magnetons follow the coordinates.
Element x y z (fractional)
Ir  0.000  0.000  0.000  0.06
Mn  0.000  0.500  0.000  4.02
Ru  0.000  0.000  0.500  0.16
Ru  0.500  0.000  0.000  0.14
Tl  0.500  0.500  0.500  -0.01

Calculated values
**Total energy**: -6.567 eV/atom
**Size of the total moment**: 0.913 μB per atom
**Energy of formation**: 1.22 eV/atom
**Symmetry**: No. 123

Entry 10:
The following is a DFT calculation (PBE-GGA) of a geometry-optimized UMnIrRu structure.

Cell lengths 4.576, 4.576, 4.576 Å; angles 60.00, 60.00, 60.00 degrees
Site moments in Bohr magnetons follow the coordinates.
Element x y z (fractional)
Ir  0.500  0.500  0.500  0.25
Ru  0.000  0.000  0.000  0.41
U  0.250  0.250  0.250  -1.53
Mn  0.750  0.750  0.750  3.58

Calculated values
**Total energy**: -9.789 eV/atom
**Size of the total moment**: 0.694 μB per atom
**Energy of formation**: -0.14 eV/atom
**Symmetry**: No. 216

Entry 11:
The following is a DFT calculation (PBE-GGA) of a geometry-optimized MnV2IrRu structure.

Cell lengths 4.491, 4.792, 4.491 Å; angles 90.00, 90.00, 90.00 degrees
Site moments in Bohr magnetons follow the coordinates.
Element x y z (fractional)
V  0.500  0.000  0.000  -1.56
V  0.000  0.000  0.500  -1.08
Ir  0.000  0.500  0.000  0.12
Ru  0.000  0.000  0.000  0.27
Mn  0.500  0.500  0.500  4.17

Calculated values
**Total energy**: -7.941 eV/atom
**Size of the total moment**: 0.371 μB per atom
**Energy of formation**: 1.17 eV/atom
**Symmetry**: No. 123

Entry 12:
The following is a DFT calculation (PBE-GGA) of a geometry-optimized Mn2V5IrRu2 structure.

Cell lengths 2.934, 9.661, 9.661 Å; angles 90.00, 90.00, 90.00 degrees
Element x y z (fractional)
V  0.500  0.942  0.206
V  0.500  0.000  0.500
V  0.500  0.794  0.942
V  0.500  0.706  0.442
V  0.500  0.500  0.000
V  0.500  0.058  0.794
V  0.500  0.442  0.294
V  0.500  0.558  0.706
V  0.500  0.294  0.558
V  0.500  0.206  0.058
Ru  0.000  0.167  0.333
Ru  0.000  0.333  0.833
Ru  0.000  0.833  0.667
Ru  0.000  0.667  0.167
Mn  0.000  0.869  0.369
Mn  0.000  0.631  0.869
Mn  0.000  0.369  0.131
Mn  0.000  0.131  0.631
Ir  0.000  0.000  0.000
Ir  0.000  0.500  0.500

Calculated values
**Total energy**: -9.078 eV/atom
**Size of the total moment**: 0.000 μB per atom
**Energy of formation**: 0.06 eV/atom
**Symmetry**: No. 127